<A>
First-principles (PBE) data for an optimized crystal structure of RbAg2SnAu, as listed in Alexandria via LeMat-Bulk.

Cell lengths 5.386, 5.386, 5.404 Å; angles 90.00, 90.00, 90.00 degrees
Sites, in units of the cell vectors:
1 Rb 0.500 0.500 0.500
2 Ag 0.500 0.000 0.000
3 Ag 0.000 0.500 0.000
4 Au 0.000 0.000 0.500
5 Sn 0.000 0.000 0.000

* total magnetic moment: 0.00 μB per cell

<B>
First-principles (PBE) data for an optimized crystal structure of RbAg2SnAu, as listed in Alexandria via LeMat-Bulk.

Cell lengths 5.307, 5.961, 5.307 Å; angles 90.00, 90.00, 90.00 degrees
Sites, in units of the cell vectors:
1 Rb 0.000 0.500 0.000
2 Au 0.000 0.000 0.000
3 Ag 0.500 0.000 0.000
4 Sn 0.500 0.500 0.500
5 Ag 0.000 0.000 0.500

* total magnetic moment: 0.00 μB per cell

Energetically preferred structure: <A> | next structure: +0.490 eV/atom

<A>
First-principles (PBE) data for an optimized crystal structure of ReAg2Au, as listed in Alexandria via LeMat-Bulk.

Cell lengths 2.769, 2.769, 10.098 Å; angles 90.00, 90.00, 117.89 degrees
Sites, in units of the cell vectors:
1 Re 0.500 0.500 0.750
2 Ag 0.000 0.000 0.505
3 Ag 0.000 0.000 0.995
4 Au 0.500 0.500 0.250

* total magnetic moment: 0.00 μB per cell

<B>
First-principles (PBE) data for an optimized crystal structure of ReAg2Au, as listed in Alexandria via LeMat-Bulk.

Cell lengths 2.734, 2.734, 9.431 Å; angles 90.00, 90.00, 105.64 degrees
Sites, in units of the cell vectors:
1 Au 0.000 0.000 0.505
2 Re 0.500 0.500 0.749
3 Ag 0.000 0.000 0.996
4 Ag 0.500 0.500 0.249

* total magnetic moment: 0.00 μB per cell

Energetically preferred structure: <A> | next structure: +0.020 eV/atom